# 1
Computed, not measured: a relaxed PaNiGeAu crystal at the PBE-GGA level of DFT.

Lattice parameters (Å, degrees): 4.6942 4.6942 4.6942 60.00 60.00 60.00
Last column: nearest neighbours and their distance in Å.
Fractional positions:
Au: 0.5000 0.5000 0.5000  4 Ni 2.87, 4 Ge 2.87
Ni: 0.7500 0.7500 0.7500  4 Au 2.87, 4 Pa 2.87
Pa: 0.0000 0.0000 0.0000  4 Ge 2.87, 4 Ni 2.87
Ge: 0.2500 0.2500 0.2500  4 Pa 2.87, 4 Au 2.87

Output
Its symmetry is F-43m (216). As for the formation energy: -0.20 eV/atom.

# 2
Computed, not measured: a relaxed NiGePd2Au crystal at the PBE-GGA level of DFT.

Lattice parameters (Å, degrees): 4.9997 4.6077 4.9997 90.00 90.00 90.00
Last column: nearest neighbours and their distance in Å.
Fractional positions:
Pd: 0.5000 0.0000 0.0000  2 Au 2.50
Pd: 0.0000 0.0000 0.5000  2 Au 2.50
Ni: 0.0000 0.5000 0.0000  2 Au 2.30
Au: 0.0000 0.0000 0.0000  2 Ni 2.30, 4 Pd 2.50
Ge: 0.5000 0.5000 0.5000  8 Pd 3.40, 4 Ni 3.54

Output
Its symmetry is P4/mmm (123). As for the formation energy: 1.08 eV/atom.

# 3
Computed, not measured: a relaxed Pr2NiGe4Au3 crystal at the PBE-GGA level of DFT.

Lattice parameters (Å, degrees): 4.3331 4.3331 10.8591 90.00 90.00 90.00
Last column: nearest neighbours and their distance in Å.
Fractional positions:
Au: 0.0000 0.5000 0.1431  5 Ge 2.54-2.67
Au: 0.5000 0.0000 0.8569  5 Ge 2.54-2.67
Au: 0.0000 0.0000 0.5000  4 Ge 2.55
Pr: 0.5000 0.0000 0.2675  8 Ge 3.29-3.62, 2 Ni 3.33, 6 Au 3.33-3.35
Pr: 0.0000 0.5000 0.7325  8 Ge 3.29-3.62, 2 Ni 3.33, 6 Au 3.33-3.35
Ge: 0.0000 0.5000 0.3770  3 Au 2.54-2.55, 2 Ni 2.55
Ge: 0.0000 0.0000 0.0000  4 Au 2.67
Ge: 0.5000 0.5000 0.0000  4 Au 2.67
Ge: 0.5000 0.0000 0.6230  3 Au 2.54-2.55, 2 Ni 2.55
Ni: 0.5000 0.5000 0.5000  4 Ge 2.55

Output
Its symmetry is P-4m2 (115). As for the formation energy: -0.55 eV/atom.

# 4
Computed, not measured: a relaxed Pr2Ni3Ge4Au crystal at the PBE-GGA level of DFT.

Lattice parameters (Å, degrees): 4.2494 4.2494 9.9264 90.00 90.00 90.00
Last column: nearest neighbours and their distance in Å.
Fractional positions:
Ni: 0.0000 0.0000 0.5000  4 Ge 2.57
Ni: 0.5000 0.0000 0.8851  5 Ge 2.37-2.41
Ni: 0.0000 0.5000 0.1149  5 Ge 2.37-2.41
Au: 0.5000 0.5000 0.5000  4 Ge 2.57
Ge: 0.5000 0.0000 0.6458  3 Ni 2.37-2.57, 2 Au 2.57
Ge: 0.5000 0.5000 0.0000  4 Ni 2.41
Ge: 0.0000 0.0000 0.0000  4 Ni 2.41
Ge: 0.0000 0.5000 0.3542  3 Ni 2.37-2.57, 2 Au 2.57
Pr: 0.5000 0.0000 0.2433  8 Ge 3.20-3.22, 7 Ni 3.26-3.56, 2 Au 3.32
Pr: 0.0000 0.5000 0.7567  8 Ge 3.20-3.22, 7 Ni 3.26-3.56, 2 Au 3.32

Output
Its symmetry is P-4m2 (115). As for the formation energy: -0.66 eV/atom.

# 5
Computed, not measured: a relaxed Pu2Ni4Ge3Au crystal at the PBE-GGA level of DFT.

Lattice parameters (Å, degrees): 3.9857 3.9857 10.5445 90.00 90.00 90.00
Last column: nearest neighbours and their distance in Å.
Fractional positions:
Ge: 0.0000 0.0000 0.5000  4 Ni 2.57, 4 Au 2.82
Ge: 0.0000 0.5000 0.1241  5 Ni 2.33-2.38
Ge: 0.5000 0.0000 0.8759  5 Ni 2.33-2.38
Pu: 0.0000 0.5000 0.7515  8 Ni 3.00-3.29, 6 Ge 3.11-3.32, 2 Au 3.32
Pu: 0.5000 0.0000 0.2485  8 Ni 3.00-3.29, 6 Ge 3.11-3.32, 2 Au 3.32
Ni: 0.0000 0.5000 0.3455  3 Ge 2.33-2.57, 2 Au 2.57
Ni: 0.5000 0.5000 0.0000  4 Ge 2.38
Ni: 0.5000 0.0000 0.6545  3 Ge 2.33-2.57, 2 Au 2.57
Ni: 0.0000 0.0000 0.0000  4 Ge 2.38
Au: 0.5000 0.5000 0.5000  4 Ni 2.57, 4 Ge 2.82

Output
Its symmetry is P-4m2 (115). As for the formation energy: -0.40 eV/atom.

# 6
Computed, not measured: a relaxed NiGeAuS2 crystal at the PBE-GGA level of DFT.

Lattice parameters (Å, degrees): 4.8836 4.9107 4.8836 90.00 90.00 90.00
Last column: nearest neighbours and their distance in Å.
Fractional positions:
Ni: 0.5000 0.5000 0.5000  4 Ge 3.45, 8 S 3.46
Ge: 0.0000 0.5000 0.0000  2 Au 2.46
S: 0.5000 0.0000 0.0000  2 Au 2.44
S: 0.0000 0.0000 0.5000  2 Au 2.44
Au: 0.0000 0.0000 0.0000  4 S 2.44, 2 Ge 2.46

Output
Its symmetry is P4/mmm (123). As for the raw formation energy: 1102 meV per atom.

# 7
Computed, not measured: a relaxed NiGeAu2S crystal at the PBE-GGA level of DFT.

Lattice parameters (Å, degrees): 4.9303 4.0810 4.9303 90.00 90.00 90.00
Last column: nearest neighbours and their distance in Å.
Fractional positions:
Ge: 0.5000 0.5000 0.5000  8 Au 3.20, 4 S 3.49
Au: 0.5000 0.0000 0.0000  2 Ni 2.47
Au: 0.0000 0.0000 0.5000  2 Ni 2.47
S: 0.0000 0.5000 0.0000  2 Ni 2.04
Ni: 0.0000 0.0000 0.0000  2 S 2.04

Output
Its symmetry is P4/mmm (123). As for the raw formation energy: 384 meV per atom.

# 8
Computed, not measured: a relaxed Sm2Ni4Ge3Au crystal at the PBE-GGA level of DFT.

Lattice parameters (Å, degrees): 4.1772 4.1772 9.7839 90.00 90.00 90.00
Last column: nearest neighbours and their distance in Å.
Fractional positions:
Ni: 0.0000 0.5000 0.3579  3 Ge 2.32-2.51, 2 Au 2.51
Ni: 0.0000 0.0000 0.0000  4 Ge 2.40
Ni: 0.5000 0.0000 0.6421  3 Ge 2.32-2.51, 2 Au 2.51
Ni: 0.5000 0.5000 0.0000  4 Ge 2.40
Sm: 0.0000 0.5000 0.7535  8 Ni 3.15-3.19, 6 Ge 3.20-3.24, 2 Au 3.24
Sm: 0.5000 0.0000 0.2465  8 Ni 3.15-3.19, 6 Ge 3.20-3.24, 2 Au 3.24
Au: 0.5000 0.5000 0.5000  4 Ni 2.51
Ge: 0.0000 0.5000 0.1210  5 Ni 2.32-2.40
Ge: 0.0000 0.0000 0.5000  4 Ni 2.51
Ge: 0.5000 0.0000 0.8790  5 Ni 2.32-2.40

Output
Its symmetry is P-4m2 (115). As for the formation energy: -0.60 eV/atom.

# 9
Computed, not measured: a relaxed Tb2Ni3Ge4Au crystal at the PBE-GGA level of DFT.

Lattice parameters (Å, degrees): 4.1623 4.1623 9.8641 90.00 90.00 90.00
Last column: nearest neighbours and their distance in Å.
Fractional positions:
Ge: 0.0000 0.0000 0.0000  4 Ni 2.38
Ge: 0.5000 0.0000 0.6483  3 Ni 2.31-2.54, 2 Au 2.54
Ge: 0.0000 0.5000 0.3517  3 Ni 2.31-2.54, 2 Au 2.54
Ge: 0.5000 0.5000 0.0000  4 Ni 2.38
Ni: 0.0000 0.0000 0.5000  4 Ge 2.54
Ni: 0.0000 0.5000 0.1172  5 Ge 2.31-2.38
Ni: 0.5000 0.0000 0.8828  5 Ge 2.31-2.38
Tb: 0.0000 0.5000 0.7574  8 Ge 3.13-3.17, 6 Ni 3.19-3.28, 2 Au 3.28
Tb: 0.5000 0.0000 0.2426  8 Ge 3.13-3.17, 6 Ni 3.19-3.28, 2 Au 3.28
Au: 0.5000 0.5000 0.5000  4 Ge 2.54

Output
Its symmetry is P-4m2 (115). As for the formation energy: -0.65 eV/atom.

# 10
Computed, not measured: a relaxed TcNiGeAu2 crystal at the PBE-GGA level of DFT.

Lattice parameters (Å, degrees): 5.0511 4.6337 5.0511 90.00 90.00 90.00
Last column: nearest neighbours and their distance in Å.
Fractional positions:
Ni: 0.5000 0.5000 0.5000  8 Au 3.43, 4 Ge 3.57
Ge: 0.0000 0.5000 0.0000  2 Tc 2.32
Tc: 0.0000 0.0000 0.0000  2 Ge 2.32, 4 Au 2.53
Au: 0.0000 0.0000 0.5000  2 Tc 2.53
Au: 0.5000 0.0000 0.0000  2 Tc 2.53

Output
Its symmetry is P4/mmm (123). As for the formation energy: 1.25 eV/atom.

# 11
Computed, not measured: a relaxed Th2Ni3Ge4Au crystal at the PBE-GGA level of DFT.

Lattice parameters (Å, degrees): 4.2523 4.2523 9.8480 90.00 90.00 90.00
Last column: nearest neighbours and their distance in Å.
Fractional positions:
Th: 0.0000 0.5000 0.7570  8 Ge 3.20, 7 Ni 3.26-3.53, 2 Au 3.31
Th: 0.5000 0.0000 0.2430  8 Ge 3.20, 7 Ni 3.26-3.53, 2 Au 3.31
Ge: 0.5000 0.0000 0.6453  3 Ni 2.35-2.56, 2 Au 2.56
Ge: 0.0000 0.0000 0.0000  4 Ni 2.41
Ge: 0.0000 0.5000 0.3547  3 Ni 2.35-2.56, 2 Au 2.56
Ge: 0.5000 0.5000 0.0000  4 Ni 2.41
Ni: 0.5000 0.0000 0.8841  5 Ge 2.35-2.41
Ni: 0.0000 0.0000 0.5000  4 Ge 2.56
Ni: 0.0000 0.5000 0.1159  5 Ge 2.35-2.41
Au: 0.5000 0.5000 0.5000  4 Ge 2.56

Output
Its symmetry is P-4m2 (115). As for the formation energy: -0.67 eV/atom.

Electronic total energy, record by record: -5.99, -3.73, -4.92, -5.53, -7.30, -3.28, -3.83, -5.57, -5.48, -4.21, -6.07 eV/atom
Magnetic moment, record by record: 0.0, 1.2, 0.0, 0.0, 10.4, 1.1, 0.0, 0.0, 0.0, 1.1, 0.0 Bohr magnetons per cell